{
  "formula": "NaCuH2",
  "functional": "PBE",
  "state": "relaxed",
  "lattice": [[-0.466, -2.500, -0.695], [1.042, 0.467, -2.376], [4.970, -1.452, 1.894]],
  "species": ["Na", "Cu", "H", "H"],
  "fractional_positions": [[0.500, 0.500, 0.500], [0.500, 0.500, 0.000], [0.000, 0.000, 0.779], [0.000, 0.000, 0.221]],
  "final_energy_ev_per_atom": -2.60,
  "relative_energy_mev_per_atom": 525,
  "sg": "P4/mmm, No. 123"
}